No. 1
{"formula": "LiDyYRu", "functional": "PBE", "state": "optimized geometry", "magmom_total_mub_per_cell": 0.00, "formation_energy_ev_per_atom": -0.272, "space_group": "F-43m (216)", "lattice_angstrom": [[-1.496, -1.708, -4.362], [2.086, -4.022, -1.912], [-2.540, -4.203, -0.254]], "species": ["Li", "Ru", "Y", "Dy"], "fractional_positions": [[0.250, 0.250, 0.250], [0.750, 0.750, 0.750], [0.500, 0.500, 0.500], [0.000, 0.000, 0.000]]}


No. 2
{"formula": "In3HSe", "functional": "PBE", "state": "optimized geometry", "magmom_total_mub_per_cell": 0.00, "space_group": "Pm-3m (221)", "e_above_lowest_polymorph_mev_per_atom": 0, "lattice_angstrom": [[-4.628, 1.466, 0.327], [-0.233, -1.747, 4.536], [1.484, 4.299, 1.731]], "species": ["In", "In", "In", "Se", "H"], "fractional_positions": [[0.000, 0.500, 0.000], [0.500, 0.000, 0.000], [0.000, 0.000, 0.500], [0.500, 0.500, 0.500], [0.000, 0.000, 0.000]]}


No. 3
{"formula": "PmUAs2Rh5", "functional": "PBE", "state": "optimized geometry", "magmom_total_mub_per_cell": 0.00, "formation_energy_ev_per_atom": -0.434, "space_group": "P4/mmm (123)", "lattice_angstrom": [[-1.167, -3.647, -1.124], [2.458, 0.180, -3.138], [8.362, -4.613, 6.286]], "species": ["U", "Rh", "Rh", "Rh", "Rh", "Rh", "Pm", "As", "As"], "fractional_positions": [[0.000, 0.000, 0.000], [0.000, 0.500, 0.158], [0.500, 0.000, 0.158], [0.500, 0.000, 0.842], [0.000, 0.500, 0.842], [0.000, 0.000, 0.500], [0.500, 0.500, 0.500], [0.000, 0.000, 0.292], [0.000, 0.000, 0.708]]}